MnGaBiO4, relaxed, DFT GGA+U; final energy = -88.477 eV/cell
1.0
-4.6794 -0.9920 3.7109
3.4008 -3.4352 3.3701
2.2801 5.1574 2.9562
Mn Ga Bi O
2 2 2 8
Direct
0.8798 0.7500 0.4079 Mn
0.1202 0.2500 0.5921 Mn
0.3588 0.7500 0.3916 Ga
0.6412 0.2500 0.6084 Ga
0.7180 0.7500 0.8772 Bi
0.2820 0.2500 0.1228 Bi
0.8538 0.4912 0.6639 O
0.1462 0.9912 0.3361 O
0.1462 0.5088 0.3361 O
0.8538 0.0088 0.6639 O
0.5763 0.7500 0.2160 O
0.4237 0.2500 0.7840 O
0.4183 0.7500 0.6830 O
0.5817 0.2500 0.3170 O